VASP calculation (GGA-PBE) on crystalline Re2HgPb at its relaxed geometry.

Properties
As for the space group: P4/mmm, No. 123. For the energy relative to the elements, the calculation gives 1.33 eV per atom. Its relative energy among the computed polymorphs is 87.49 kJ per mole of atoms.

Cell lengths 3.337, 3.337, 6.589 Å; angles 90.00, 90.00, 90.00 degrees
Element x y z (fractional)
Hg1 0.500 0.500 0.250
Pb1 0.500 0.500 0.750
Re1 0.000 0.000 0.018
Re2 0.000 0.000 0.482



VASP calculation (GGA-PBE) on crystalline Re3HgPb at its relaxed geometry.

Properties
As for the space group: Pm-3m, No. 221. For the energy relative to the elements, the calculation gives 3.00 eV per atom. Its relative energy among the computed polymorphs is 0.00 kJ per mole of atoms.

Cell lengths 4.976, 4.976, 4.976 Å; angles 90.00, 90.00, 90.00 degrees
Last column: magnetic moment on the atom in μB.
Element x y z (fractional)
Pb1 0.500 0.500 0.500  -0.03
Re1 0.000 0.500 0.000  1.17
Re2 0.000 0.000 0.500  1.85
Re3 0.500 0.000 0.000  1.11
Hg1 0.000 0.000 0.000  0.05



VASP calculation (GGA-PBE) on crystalline Re2HgPb at its relaxed geometry.

Properties
As for the space group: Fm-3m, No. 225. For the energy relative to the elements, the calculation gives 1.33 eV per atom. Its relative energy among the computed polymorphs is 87.70 kJ per mole of atoms.

Cell lengths 4.691, 4.691, 4.691 Å; angles 60.00, 60.00, 60.00 degrees
Element x y z (fractional)
Pb1 0.500 0.500 0.500
Re1 0.250 0.250 0.250
Re2 0.750 0.750 0.750
Hg1 0.000 0.000 0.000